SrNi2Rh | PBE | relaxed

abc: 4.1938 6.8781 5.5076
angles: 90.00 90.00 90.00
With the nearest neighbours (Å) after each atom.
Sites, in units of the cell vectors:
Sr 0.2500 0.2500 0.1072  4 Ni 2.96-3.11
Sr 0.7500 0.7500 0.8928  4 Ni 2.96-3.11
Ni 0.2500 0.0651 0.5920  3 Rh 2.42-2.45, 3 Ni 2.50-2.54
Ni 0.2500 0.4349 0.5920  3 Rh 2.42-2.45, 3 Ni 2.50-2.54
Ni 0.7500 0.5651 0.4080  3 Rh 2.42-2.45, 3 Ni 2.50-2.54
Ni 0.7500 0.9349 0.4080  3 Rh 2.42-2.45, 3 Ni 2.50-2.54
Rh 0.2500 0.7500 0.3977  6 Ni 2.42-2.45
Rh 0.7500 0.2500 0.6023  6 Ni 2.42-2.45

## Properties
* energy of formation: -0.095 eV per atom
* E: -5.244 eV per atom
* energy above the lowest structure with this stoichiometry: 0.0143 eV/atom